<P>
KNaBi2: relaxed, GGA-PBE.

Results
Symmetry: I-42d, No. 122

CIF file:
```
data_KNaBi2
_cell_length_a 5.168
_cell_length_b 5.168
_cell_length_c 22.837
_cell_angle_alpha 90.00
_cell_angle_beta 90.00
_cell_angle_gamma 90.00
_space_group_name_H-M_alt 'P 1'
_space_group_IT_number 1
loop_
_space_group_symop_operation_xyz
'x,y,z'
loop_
_atom_site_label
_atom_site_fract_x
_atom_site_fract_y
_atom_site_fract_z
K1 0.000 0.000 0.000
K2 0.000 0.500 0.250
K3 0.500 0.000 0.750
K4 0.500 0.500 0.500
Na1 0.000 0.000 0.500
Na2 0.000 0.500 0.750
Na3 0.500 0.000 0.250
Na4 0.500 0.500 0.000
Bi1 0.184 0.250 0.625
Bi2 0.250 0.684 0.875
Bi3 0.250 0.816 0.375
Bi4 0.316 0.250 0.125
Bi5 0.684 0.750 0.125
Bi6 0.750 0.184 0.375
Bi7 0.750 0.316 0.875
Bi8 0.816 0.750 0.625
```

<Q>
KNaBi2: relaxed, GGA-PBE.

Results
Symmetry: P4/mmm, No. 123

CIF file:
```
data_KNaBi2
_cell_length_a 4.908
_cell_length_b 4.908
_cell_length_c 5.340
_cell_angle_alpha 90.00
_cell_angle_beta 90.00
_cell_angle_gamma 90.00
_space_group_name_H-M_alt 'P 1'
_space_group_IT_number 1
loop_
_space_group_symop_operation_xyz
'x,y,z'
loop_
_atom_site_label
_atom_site_fract_x
_atom_site_fract_y
_atom_site_fract_z
K1 0.000 0.000 0.000
Na1 0.500 0.500 0.000
Bi1 0.000 0.500 0.500
Bi2 0.500 0.000 0.500
```

Which of them is the most stable, and which is the least stable? <Q> and <P>, in that order.